## KZrAl (GGA-PBE)

Data for crystalline KZrAl at its relaxed geometry.

Results
Size of the total moment (μB/cell): 0.79
Energy of formation from the pure elements (eV/atom): 0.367
E above lowest polymorph (eV per atom): 0.372
Electronic total energy (eV for the cell shown): -12.3
Density of states at the Fermi level (states/eV per cell): 2.52

abc: 7.2986 7.2986 7.2986
angles: 155.99 144.63 43.21
Each line ends with the local moment (μB).
Fractional positions:
K1 0.6568 0.6568 0.0000  0.02
Al1 0.9593 0.9593 0.0000  0.00
Zr1 0.3839 0.3839 0.0000  0.29

## KZrAl (GGA-PBE)

Data for crystalline KZrAl at its relaxed geometry.

Results
Size of the total moment (μB/cell): 0.00
Energy of formation from the pure elements (eV/atom): 0.349
E above lowest polymorph (eV per atom): 0.354
Electronic total energy (eV for the cell shown): -49.4
Density of states at the Fermi level (states/eV per cell): 14.08

abc: 13.7649 5.4735 5.2507
angles: 90.00 90.00 90.00
Fractional positions:
Al1 0.5000 0.0000 0.5000
Zr1 0.5067 0.7500 0.9996
Zr2 0.4933 0.2500 0.0004
K1 0.2619 0.2500 0.5122
Al2 0.0000 0.0000 0.0000
K2 0.2381 0.7500 0.0122
Al3 0.5000 0.5000 0.5000
K3 0.7619 0.2500 0.9878
Al4 0.0000 0.5000 0.0000
K4 0.7381 0.7500 0.4878
Zr3 0.9933 0.2500 0.4996
Zr4 0.0067 0.7500 0.5004

## KZrAl3 (GGA-PBE)

Data for crystalline KZrAl3 at its relaxed geometry.

Results
Size of the total moment (μB/cell): 0.00
Energy of formation from the pure elements (eV/atom): 1.595
E above lowest polymorph (eV per atom): 1.027
Electronic total energy (eV for the cell shown): -12.9
Density of states at the Fermi level (states/eV per cell): 3.63

abc: 5.0253 5.0253 5.0253
angles: 90.00 90.00 90.00
Fractional positions:
Al1 0.5000 0.0000 0.0000
K1 0.0000 0.0000 0.0000
Al2 0.0000 0.0000 0.5000
Zr1 0.5000 0.5000 0.5000
Al3 0.0000 0.5000 0.0000

## KZr2Al (GGA-PBE)

Data for crystalline KZr2Al at its relaxed geometry.

Results
Size of the total moment (μB/cell): 0.21
Energy of formation from the pure elements (eV/atom): 0.634
Electronic total energy (eV for the cell shown): -19.4
Density of states at the Fermi level (states/eV per cell): 5.00

abc: 3.1135 5.5442 5.7305
angles: 90.00 90.00 90.00
Each line ends with the local moment (μB).
Fractional positions:
Zr1 0.0000 0.0000 0.0000  -0.02
Zr2 0.5000 0.5000 0.0000  0.13
Al1 0.5000 0.0000 0.5000  0.00
K1 0.0000 0.5000 0.5000  0.02